# PBE+U CsVF3, optimized geometry
data_CsVF3
_symmetry_space_group_name_H-M 'C m c m'
_symmetry_Int_Tables_number 63
_symmetry_space_group_name_Hall '-C 2c 2'
_cell_length_a 4.8420
_cell_length_b 15.6278
_cell_length_c 5.5318
_cell_angle_alpha 90.00
_cell_angle_beta 90.00
_cell_angle_gamma 90.00
loop_
_atom_site_label
_atom_site_fract_x
_atom_site_fract_y
_atom_site_fract_z
Cs1 0.0000 0.1658 0.2500
V1 0.0000 0.4407 0.2500
F1 0.0000 0.0000 0.0000
F2 0.2482 0.1501 0.7500
# VASP energy = -95.3 eV/cell
# M_tot = 12.00 μB/cell
# Mass density = 3.8 g cm⁻³